Record 1
Material: Pt2CSe
Method: DFT, GGA-PBE
State: relaxed

Values from the calculation:
raw total energy: -5.788 eV per atom
total magnetization: 0.00 μB per cell
formation energy without anion corrections: 409.5 meV/atom

```
Pt2CSe
1.0
-4.7157 -1.3229 0.0169
0.5234 -1.8082 4.5216
-3.5253 3.5573 4.4833
C Se Pt
2 2 4
Direct
0.5000 0.5000 0.0000 C
0.2500 0.7500 0.5000 C
0.0000 0.0000 0.0000 Se
0.7500 0.2500 0.5000 Se
0.5302 0.1250 0.2500 Pt
0.2198 0.6250 0.2500 Pt
0.3750 0.4698 0.7500 Pt
0.8750 0.7802 0.7500 Pt
```

Record 2
Material: Pt2CSe
Method: DFT, GGA-PBE
State: relaxed

Values from the calculation:
raw total energy: -4.947 eV per atom
total magnetization: 0.00 μB per cell
formation energy without anion corrections: 1250.2 meV/atom

```
Pt2CSe
1.0
0.0000 3.0651 3.0651
3.0651 0.0000 3.0651
3.0651 3.0651 0.0000
C Se Pt
1 1 2
Direct
0.0000 0.0000 0.0000 C
0.5000 0.5000 0.5000 Se
0.2500 0.2500 0.2500 Pt
0.7500 0.7500 0.7500 Pt
```

Record 3
Material: TcPt2CSe
Method: DFT, GGA-PBE
State: relaxed

Values from the calculation:
raw total energy: -6.450 eV per atom
total magnetization: 0.00 μB per cell
formation energy without anion corrections: 580.9 meV/atom

```
TcPt2CSe
1.0
4.2282 0.0000 0.0000
0.0000 4.1401 0.0000
0.0000 0.0000 4.2282
C Se Tc Pt
1 1 1 2
Direct
0.0000 0.0000 0.0000 C
0.5000 0.5000 0.5000 Se
0.0000 0.5000 0.0000 Tc
0.0000 0.0000 0.5000 Pt
0.5000 0.0000 0.0000 Pt
```

Record 4
Material: Th4PtCSe2
Method: DFT, GGA-PBE
State: relaxed

Values from the calculation:
raw total energy: -7.634 eV per atom
total magnetization: 0.00 μB per cell
formation energy without anion corrections: -1144.7 meV/atom

```
Th4PtCSe2
1.0
-1.8038 0.6722 -3.4679
-6.4395 -0.6657 3.2205
1.9958 7.0726 0.3329
Th Pt C Se
4 1 1 2
Direct
0.5000 0.2599 0.2219 Th
0.5000 0.7401 0.7781 Th
0.0000 0.2870 0.7885 Th
0.0000 0.7130 0.2115 Th
0.0000 0.0000 0.0000 Pt
0.5000 0.5000 0.0000 C
0.5000 0.0000 0.5000 Se
0.0000 0.5000 0.5000 Se
```

Record 5
Material: Ti2SiPtC
Method: DFT, GGA-PBE
State: relaxed

Values from the calculation:
raw total energy: -7.657 eV per atom
total magnetization: 0.64 μB per cell
formation energy without anion corrections: -361.6 meV/atom

```
Ti2SiPtC
1.0
4.1201 0.0000 0.0000
0.0000 4.1423 0.0000
0.0000 0.0000 4.1201
Si C Pt Ti
1 1 1 2
Direct
0.5000 0.5000 0.5000 Si
0.0000 0.0000 0.0000 C
0.0000 0.5000 0.0000 Pt
0.0000 0.0000 0.5000 Ti
0.5000 0.0000 0.0000 Ti
```

Record 6
Material: V2SiPtC
Method: DFT, GGA-PBE
State: relaxed

Values from the calculation:
raw total energy: -6.523 eV per atom
total magnetization: 4.91 μB per cell
formation energy without anion corrections: 1262.1 meV/atom

```
V2SiPtC
1.0
-0.3877 3.3073 3.6988
-3.5340 -1.0395 0.5590
1.5281 -3.4502 3.2452
Si C Pt V
1 1 1 2
Direct
0.5000 0.5000 0.5000 Si
0.0000 0.5000 0.0000 C
0.0000 0.0000 0.0000 Pt
0.0000 0.0000 0.5000 V
0.5000 0.0000 0.0000 V
```

Record 7
Material: Sm3PtC
Method: DFT, GGA-PBE
State: relaxed

Values from the calculation:
raw total energy: -6.428 eV per atom
total magnetization: 0.00 μB per cell
DFT formation energy: -0.544 eV per atom

```
Sm3PtC
1.0
3.7797 0.0000 0.0000
0.0000 8.7867 0.0000
0.0000 0.0000 13.9430
Sm Pt C
12 4 4
Direct
0.7500 0.1900 0.3023 Sm
0.2500 0.6741 0.9684 Sm
0.2500 0.0049 0.1066 Sm
0.2500 0.5049 0.3934 Sm
0.2500 0.1741 0.5316 Sm
0.7500 0.4951 0.6066 Sm
0.2500 0.3100 0.8023 Sm
0.7500 0.9951 0.8934 Sm
0.7500 0.3259 0.0316 Sm
0.7500 0.6900 0.1977 Sm
0.7500 0.8259 0.4684 Sm
0.2500 0.8100 0.6977 Sm
0.2500 0.9020 0.3134 Pt
0.7500 0.0980 0.6866 Pt
0.7500 0.5980 0.8134 Pt
0.2500 0.4020 0.1866 Pt
0.2500 0.6620 0.5497 C
0.7500 0.3380 0.4503 C
0.7500 0.8380 0.0497 C
0.2500 0.1620 0.9503 C
```

Record 8
Material: SmPtC
Method: DFT, GGA-PBE
State: relaxed

Values from the calculation:
raw total energy: -7.139 eV per atom
total magnetization: 0.00 μB per cell
DFT formation energy: -0.478 eV per atom

```
SmPtC
1.0
4.3688 -1.1585 -0.0894
1.0505 3.9304 0.2726
-0.5837 1.8517 6.1102
C Sm Pt
2 2 2
Direct
0.7251 0.8688 0.6303 C
0.9875 0.7820 0.8029 C
0.1698 0.9735 0.4223 Sm
0.5428 0.6772 0.0109 Sm
0.6536 0.4237 0.5210 Pt
0.0590 0.2272 0.9123 Pt
```

Record 9
Material: Sm12Pt3C5
Method: DFT, GGA-PBE
State: relaxed

Values from the calculation:
raw total energy: -6.347 eV per atom
total magnetization: 0.00 μB per cell
DFT formation energy: -0.303 eV per atom

```
Sm12Pt3C5
1.0
13.7080 0.0000 0.0000
-4.5693 12.9241 0.0000
-4.5693 -6.4620 11.1926
C Sm Pt
20 48 12
Direct
0.1250 0.3750 0.2500 C
0.0000 0.5000 0.0000 C
0.0000 0.0000 0.0000 C
0.3750 0.2500 0.1250 C
0.5000 0.0000 0.5000 C
0.5000 0.5000 0.0000 C
0.1250 0.7500 0.3750 C
0.7500 0.1250 0.8750 C
0.7500 0.6250 0.3750 C
0.3750 0.1250 0.7500 C
0.6250 0.8750 0.2500 C
0.5000 0.5000 0.5000 C
0.5000 0.0000 0.0000 C
0.0000 0.0000 0.5000 C
0.2500 0.3750 0.6250 C
0.2500 0.8750 0.1250 C
0.0000 0.5000 0.5000 C
0.8750 0.2500 0.6250 C
0.6250 0.7500 0.8750 C
0.8750 0.6250 0.7500 C
0.7066 0.1205 0.0269 Sm
0.3203 0.5269 0.4064 Sm
0.9731 0.3795 0.2934 Sm
0.5269 0.2066 0.1205 Sm
0.5862 0.7066 0.6797 Sm
0.9731 0.5936 0.1797 Sm
0.3203 0.7934 0.4138 Sm
0.0936 0.9138 0.1205 Sm
0.5936 0.9731 0.6797 Sm
0.7066 0.5862 0.1797 Sm
0.7934 0.4731 0.3795 Sm
0.8203 0.9064 0.0269 Sm
0.1205 0.7066 0.5269 Sm
0.3795 0.4064 0.0862 Sm
0.0862 0.9064 0.3795 Sm
0.4138 0.1205 0.5936 Sm
0.0862 0.1797 0.2066 Sm
0.4731 0.6797 0.0936 Sm
0.8203 0.9138 0.2934 Sm
0.1205 0.4138 0.0936 Sm
0.3795 0.9731 0.7934 Sm
0.5936 0.6205 0.4138 Sm
0.9064 0.8203 0.5269 Sm
0.7934 0.3203 0.9138 Sm
0.4064 0.3795 0.5862 Sm
0.0936 0.1797 0.4731 Sm
0.2066 0.6797 0.0862 Sm
0.1797 0.0862 0.7066 Sm
0.6205 0.0269 0.2066 Sm
0.8795 0.5862 0.9064 Sm
0.5269 0.3203 0.9064 Sm
0.5862 0.8795 0.4064 Sm
0.9138 0.8203 0.7934 Sm
0.9138 0.0936 0.6205 Sm
0.8795 0.2934 0.4731 Sm
0.1797 0.0936 0.9731 Sm
0.6205 0.5936 0.9138 Sm
0.4064 0.0269 0.3203 Sm
0.2934 0.4138 0.8203 Sm
0.2066 0.5269 0.6205 Sm
0.9064 0.0862 0.8795 Sm
0.6797 0.2066 0.5862 Sm
0.4731 0.7934 0.8795 Sm
0.0269 0.4064 0.8203 Sm
0.4138 0.2934 0.3203 Sm
0.0269 0.6205 0.7066 Sm
0.6797 0.4731 0.5936 Sm
0.2934 0.8795 0.9731 Sm
0.7500 0.3750 0.1250 Pt
0.8750 0.7500 0.1250 Pt
0.3750 0.7500 0.6250 Pt
0.2500 0.1250 0.3750 Pt
0.8750 0.1250 0.2500 Pt
0.3750 0.6250 0.2500 Pt
0.6250 0.3750 0.7500 Pt
0.1250 0.8750 0.7500 Pt
0.7500 0.8750 0.6250 Pt
0.6250 0.2500 0.3750 Pt
0.1250 0.2500 0.8750 Pt
0.2500 0.6250 0.8750 Pt
```

Record 10
Material: Sm2PtC
Method: DFT, GGA-PBE
State: relaxed

Values from the calculation:
raw total energy: -6.675 eV per atom
total magnetization: 0.00 μB per cell
DFT formation energy: -0.499 eV per atom

```
Sm2PtC
1.0
3.7920 0.0000 0.0000
1.8960 3.2840 0.0000
1.8960 1.0947 6.8507
C Sm Pt
1 2 1
Direct
0.0000 0.0000 0.0000 C
0.2646 0.2646 0.2062 Sm
0.7354 0.7354 0.7938 Sm
0.5000 0.5000 0.5000 Pt
```

Record 11
Material: SnPt3C
Method: DFT, GGA-PBE
State: relaxed

Values from the calculation:
raw total energy: -3.969 eV per atom
total magnetization: 0.71 μB per cell
DFT formation energy: 2.301 eV per atom

```
SnPt3C
1.0
-0.4521 -4.7951 -1.1168
3.9134 -1.0305 2.8404
-2.9876 -0.6242 3.8897
C Sn Pt
1 1 3
Direct
0.5000 0.5000 0.5000 C
0.0000 0.0000 0.0000 Sn
0.0000 0.5000 0.0000 Pt
0.0000 0.0000 0.5000 Pt
0.5000 0.0000 0.0000 Pt
```

Record 12
Material: Sn3PtC
Method: DFT, GGA-PBE
State: relaxed

Values from the calculation:
raw total energy: -4.126 eV per atom
total magnetization: 0.97 μB per cell
DFT formation energy: 1.329 eV per atom

```
Sn3PtC
1.0
-4.3845 1.4457 -2.4107
-2.7826 -2.8658 3.3421
-0.3988 4.1015 3.1850
C Sn Pt
1 3 1
Direct
0.5000 0.5000 0.5000 C
0.0000 0.5000 0.0000 Sn
0.0000 0.0000 0.5000 Sn
0.5000 0.0000 0.0000 Sn
0.0000 0.0000 0.0000 Pt
```